1.
Density functional theory data (PBE) for crystalline MnBeB2Pd at its relaxed geometry.

- spin magnetization (μB per formula unit) = 3.3
- energy of formation (eV per atom) = 0.98

Lattice parameters (Å, degrees): 3.638 3.638 4.105 90.00 90.00 90.00
Space group P4/mmm (No. 123)
One atom of each set of equivalent atoms:
Mn: 0.000 0.000 0.000 [1 per cell]
Be: 0.000 0.000 0.500 [1 per cell]
B: 0.000 0.500 0.500 [2 per cell]
Pd: 0.500 0.500 0.000 [1 per cell]

***

2.
Density functional theory data (PBE) for crystalline Sc2Mn2BeB4 at its relaxed geometry.

- spin magnetization (μB per formula unit) = 0.0
- energy of formation (eV per atom) = 0.19

Lattice parameters (Å, degrees): 5.306 5.306 6.903 90.00 90.00 90.00
Space group I4/mmm (No. 139)
One atom of each set of equivalent atoms:
Sc: 0.000 0.500 0.250 [4 per cell]
Mn: 0.000 0.000 0.146 [4 per cell]
Be: 0.000 0.000 0.500 [2 per cell]
B: 0.248 0.248 0.500 [8 per cell]

***

3.
Density functional theory data (PBE) for crystalline MnBeB2Te at its relaxed geometry.

- formation energy without anion corrections (meV/atom) = 2556.0
- spin magnetization (μB per formula unit) = 0.3

Lattice parameters (Å, degrees): 4.373 4.373 4.571 90.00 90.00 90.00
Space group P4/mmm (No. 123)
One atom of each set of equivalent atoms:
Mn: 0.000 0.000 0.000 [1 per cell]
Be: 0.500 0.500 0.000 [1 per cell]
B: 0.000 0.500 0.500 [2 per cell]
Te: 0.500 0.500 0.500 [1 per cell]

***

4.
Density functional theory data (PBE) for crystalline Th2MnBe3B12 at its relaxed geometry.

- spin magnetization (μB per formula unit) = 1.1
- energy of formation (eV per atom) = 0.12

Lattice parameters (Å, degrees): 5.7473 5.7473 20.6081 90.00 90.00 120.00
Space group R-3m (No. 166, hexagonal axes)
One atom of each set of equivalent atoms:
Th: 0.0000 0.0000 0.1313 [6 per cell]
Mn: 0.0000 0.0000 0.5000 [3 per cell]
Be: 0.0000 0.5000 0.0000 [9 per cell]
B: 0.0383 0.5191 0.1002 [18 per cell]
B: 0.1009 0.2017 0.7362 [18 per cell]